[1]
# Y2WN (GGA-PBE, relaxed)
data_Y2WN
_space_group_name_H-M_alt 'I -4 2 d'
_space_group_IT_number 122
_space_group_name_Hall 'I -4 2bw'
_cell_length_a 6.888
_cell_length_b 6.888
_cell_length_c 7.498
_cell_angle_alpha 90.00
_cell_angle_beta 90.00
_cell_angle_gamma 90.00
loop_
_atom_site_label
_atom_site_type_symbol
_atom_site_fract_x
_atom_site_fract_y
_atom_site_fract_z
Y1 Y 0.159 0.250 0.125
W1 W 0.000 0.000 0.500
N1 N 0.000 0.000 0.000
# Electronic total energy   -8.20 eV/atom

[2]
# Pm6Rh2O (GGA-PBE, relaxed)
data_Pm6Rh2O
_space_group_name_H-M_alt 'P 1 21/c 1'
_space_group_IT_number 14
_cell_length_a 6.498
_cell_length_b 7.219
_cell_length_c 11.711
_cell_angle_alpha 90.00
_cell_angle_beta 122.50
_cell_angle_gamma 90.00
loop_
_space_group_symop_operation_xyz
'x,y,z'
'-x,-y,-z'
'-x,y+1/2,-z+1/2'
'x,-y+1/2,z+1/2'
loop_
_atom_site_label
_atom_site_type_symbol
_atom_site_fract_x
_atom_site_fract_y
_atom_site_fract_z
Pm1 Pm 0.109 0.038 0.241
Pm2 Pm 0.236 0.681 0.064
Pm3 Pm 0.379 0.170 0.062
Rh1 Rh 0.308 0.110 0.753
O1 O 0.000 0.000 0.000
# Energy above the most stable polymorph in this dataset   0.0 meV per atom
# Electronic total energy   -6.35 eV/atom

[3]
# MgSc3Pd (GGA-PBE, relaxed)
data_MgSc3Pd
_space_group_name_H-M_alt 'P m m n'
_space_group_IT_number 59
_cell_length_a 4.714
_cell_length_b 7.676
_cell_length_c 6.162
_cell_angle_alpha 90.00
_cell_angle_beta 90.00
_cell_angle_gamma 90.00
loop_
_space_group_symop_operation_xyz
'x,y,z'
'-x,-y,-z'
'-x+1/2,-y+1/2,z'
'x+1/2,y+1/2,-z'
'x+1/2,-y,-z'
'-x+1/2,y,z'
'-x,y+1/2,-z'
'x,-y+1/2,z'
loop_
_atom_site_label
_atom_site_type_symbol
_atom_site_fract_x
_atom_site_fract_y
_atom_site_fract_z
Mg1 Mg 0.250 0.250 0.074
Sc1 Sc 0.250 0.552 0.703
Sc2 Sc 0.250 0.750 0.229
Pd1 Pd 0.250 0.250 0.505
# Energy above the most stable polymorph in this dataset   0.0 meV per atom
# Electronic total energy   -5.46 eV/atom
# ΔE_f   -306 meV/atom

[4]
# HfUC2 (GGA-PBE, relaxed)
data_HfUC2
_space_group_name_H-M_alt 'R 3 m'
_space_group_IT_number 160
_space_group_name_Hall 'R 3 -2"'
_cell_length_a 3.2951
_cell_length_b 3.2951
_cell_length_c 17.6196
_cell_angle_alpha 90.00
_cell_angle_beta 90.00
_cell_angle_gamma 120.00
loop_
_atom_site_label
_atom_site_type_symbol
_atom_site_fract_x
_atom_site_fract_y
_atom_site_fract_z
Hf1 Hf 0.0000 0.0000 0.0000
U1 U 0.0000 0.0000 0.1736
C1 C 0.0000 0.0000 0.4193
C2 C 0.0000 0.0000 0.5933
# Energy above the most stable polymorph in this dataset   248.5 meV per atom
# Electronic total energy   -10.22 eV/atom
# ΔE_f   -297 meV/atom